No. 1
VASP calculation (PBE) on a relaxed U2Ni12Ge7 crystal.

Geometry as extended XYZ:
```
21
Lattice="3.813 0.000 0.000 0.000 8.128 -4.692 0.000 0.000 9.385" Properties=species:S:1:pos:R:3 pbc="T T T"
U 1.907 0.000 0.000
U 0.000 5.418 0.000
Ni 1.907 7.424 1.505
Ni 1.907 5.719 -2.490
Ni 1.907 3.112 0.985
Ni 1.907 1.948 6.135
Ni 1.907 4.339 4.630
Ni 1.907 1.840 3.312
Ni 0.000 0.406 4.753
Ni 0.000 3.913 6.657
Ni 0.000 3.809 2.668
Ni 0.000 6.400 3.059
Ni 0.000 7.577 -2.380
Ni 0.000 2.278 -0.679
Ge 0.000 2.709 4.692
Ge 0.000 0.548 7.103
Ge 0.000 5.878 5.358
Ge 0.000 1.702 1.616
Ge 1.907 5.169 2.313
Ge 1.907 7.546 -0.941
Ge 1.907 3.540 -1.372
```


No. 2
VASP calculation (PBE) on a relaxed Er6CdIn crystal.

Geometry as extended XYZ:
```
8
Lattice="-3.865 2.860 -0.105 -0.230 -0.487 -4.779 -5.698 -7.660 1.056" Properties=species:S:1:pos:R:3 pbc="T T T"
Er -2.048 1.186 -2.442
Er -4.896 -2.643 -1.914
Er -3.355 -0.483 0.211
Er -6.207 -4.317 0.740
Er -1.538 -2.156 -2.126
Er -4.390 -5.991 -1.597
Cd 0.000 0.000 0.000
In -2.849 -3.830 0.528
```


What are the magnetization values for these records? In order: 4.113; 0.015 μB/f.u..
What are the energy relative to the elements values for these records? In order: -707; -134 kJ/mol of formula units.
What are the ρ values for these records? In order: 9.64; 9.20 g/cm³.